# 1
Here is Ca2CrBAu at its PBEsol-relaxed geometry from Alexandria. Energies are from SCAN.

Calculated values
Uncorrected energy   -22.86 eV/atom
N(E_F)   2.29 states/eV/cell

abc: 5.257 5.257 4.048
angles: 90.00 90.00 90.00
Space group P4/mmm (No. 123)
One atom of each set of equivalent atoms:
Ca 0.000 0.500 0.000 [2 per cell]
Cr 0.000 0.000 0.500 [1 per cell]
B 0.500 0.500 0.000 [1 per cell]
Au 0.500 0.500 0.500 [1 per cell]

---

# 2
Here is La2HgRh at its PBEsol-relaxed geometry from Alexandria. Energies are from SCAN.

Calculated values
Uncorrected energy   -47.76 eV/atom
N(E_F)   2.72 states/eV/cell

abc: 3.785 3.702 7.273
angles: 90.00 97.13 90.00
Space group P2/m (No. 10)
One atom of each set of equivalent atoms:
La 0.072 0.000 0.279 [2 per cell]
Hg 0.500 0.500 0.000 [1 per cell]
Rh 0.500 0.500 0.500 [1 per cell]

---

# 3
Here is RhW2Se at its PBEsol-relaxed geometry from Alexandria. Energies are from SCAN.

Calculated values
Uncorrected energy   -47.73 eV/atom
N(E_F)   4.91 states/eV/cell
E_form (uncorrected)   0.577 eV per atom

abc: 3.763 3.763 8.695
angles: 90.00 90.00 90.00
Space group I4/mmm (No. 139)
One atom of each set of equivalent atoms:
Rh 0.000 0.000 0.000 [2 per cell]
W 0.000 0.500 0.250 [4 per cell]
Se 0.000 0.000 0.500 [2 per cell]

---

# 4
Here is ScCoRe3 at its PBEsol-relaxed geometry from Alexandria. Energies are from SCAN.

Calculated values
Uncorrected energy   -46.14 eV/atom
N(E_F)   4.69 states/eV/cell

abc: 4.452 4.452 4.452
angles: 90.00 90.00 90.00
Space group Pm-3m (No. 221)
One atom of each set of equivalent atoms:
Sc 0.000 0.000 0.000 [1 per cell]
Co 0.500 0.500 0.500 [1 per cell]
Re 0.000 0.000 0.500 [3 per cell]

---

# 5
Here is CaTaAs2Se at its PBEsol-relaxed geometry from Alexandria. Energies are from SCAN.

Calculated values
Uncorrected energy   -26.04 eV/atom
N(E_F)   5.22 states/eV/cell
E_form (uncorrected)   1.303 eV per atom

abc: 5.023 5.023 5.059
angles: 90.00 90.00 90.00
Space group P4/mmm (No. 123)
One atom of each set of equivalent atoms:
Ca 0.000 0.000 0.000 [1 per cell]
Ta 0.500 0.500 0.500 [1 per cell]
As 0.000 0.500 0.000 [2 per cell]
Se 0.000 0.000 0.500 [1 per cell]

---

# 6
Here is BeCuSe2 at its PBEsol-relaxed geometry from Alexandria. Energies are from SCAN.

Calculated values
Uncorrected energy   -14.46 eV/atom
N(E_F)   1.97 states/eV/cell
E_form (uncorrected)   0.464 eV per atom

abc: 4.693 4.693 2.767
angles: 90.00 90.00 90.00
Space group P4/mmm (No. 123)
One atom of each set of equivalent atoms:
Be 0.000 0.000 0.000 [1 per cell]
Cu 0.500 0.500 0.000 [1 per cell]
Se 0.000 0.500 0.500 [2 per cell]